Material: SmTeI
Method: DFT, PBE
State: relaxed

```
SmTeI
1.0
-2.019 -3.001 -1.467
-1.467 -0.744 3.539
-3.904 6.354 -2.433
I Sm Te
1 1 1
Cartesian
-0.391 0.311 -0.097
-3.756 -0.274 0.538
-3.241 2.573 -0.802
```

Calculated values
Uncorrected formation energy ... -1.189 eV/atom
Electronic total energy ... -4.326 eV per atom
ΔE to the lowest computed polymorph ... 0.234 eV per atom
SG ... I4mm (107)



Material: Sm7TeI12
Method: DFT, PBE
State: relaxed

```
Sm7TeI12
1.0
-2.870 5.231 -9.844
-8.609 -4.997 5.781
8.012 5.253 6.382
I Sm Te
12 7 1
Cartesian
-4.475 -1.879 4.689
-3.774 0.565 -0.044
-7.724 1.022 -0.418
0.321 3.623 -1.156
0.307 4.921 2.362
-3.788 1.863 3.474
1.008 7.366 -2.371
4.257 4.464 2.736
-3.302 2.985 -5.071
-0.165 2.501 7.389
-3.398 4.101 -1.238
-0.069 1.386 3.556
-1.675 1.406 -2.506
-1.792 4.080 4.823
-1.734 2.743 1.159
-2.145 -0.946 2.360
-1.323 6.432 -0.042
2.130 2.214 1.276
-5.597 3.273 1.042
0.000 0.000 0.000
```

Calculated values
Uncorrected formation energy ... -1.139 eV/atom
Electronic total energy ... -3.878 eV per atom
SG ... R-3 (148)



Material: SmTeI
Method: DFT, PBE
State: relaxed

```
SmTeI
1.0
4.457 0.000 0.000
0.000 6.237 0.000
0.000 0.000 9.596
I Sm Te
2 2 2
Cartesian
2.229 3.118 6.200
0.000 0.000 3.396
2.229 0.000 1.222
0.000 3.118 8.373
2.229 3.118 1.006
0.000 0.000 8.590
```

Calculated values
Uncorrected formation energy ... -1.423 eV/atom
Electronic total energy ... -4.560 eV per atom
ΔE to the lowest computed polymorph ... 0.000 eV per atom
SG ... Pmmn (59)